(1)
This record from Alexandria via LeMat-Bulk describes a geometry-optimized Sn2Hg6Bi structure. The functional is PBE.

Geometry as extended XYZ:
```
9
Lattice="5.973 -1.671 0.000 5.973 1.671 0.000 -5.351 0.000 12.544" Properties=species:S:1:pos:R:3 pbc="T T T"
Sn 1.143 0.000 2.721
Sn 5.452 0.000 9.823
Hg -2.937 0.000 11.026
Hg -1.188 0.000 7.039
Hg 1.994 0.000 8.267
Hg 4.602 0.000 4.276
Hg 7.783 0.000 5.504
Hg 9.532 0.000 1.518
Bi 5.973 0.000 0.000
```

Calculated values
crystal system = monoclinic
E_tot = -13.094 eV for the cell shown

---

(2)
This record from Alexandria via LeMat-Bulk describes a geometry-optimized ScMn2 structure. The functional is PBE.

Geometry as extended XYZ:
```
12
Lattice="6.151 0.000 0.000 0.000 6.151 0.000 0.000 0.000 6.151" Properties=species:S:1:pos:R:3 pbc="T T T"
Sc 0.000 0.000 0.000
Sc 0.000 3.076 3.076
Sc 3.076 0.000 3.076
Sc 3.076 3.076 0.000
Mn 0.780 3.856 5.371
Mn 0.780 5.371 2.295
Mn 2.295 0.780 5.371
Mn 2.295 2.295 2.295
Mn 3.856 3.856 3.856
Mn 3.856 5.371 0.780
Mn 5.371 0.780 3.856
Mn 5.371 2.295 0.780
```

Calculated values
crystal system = cubic
E_tot = -83.965 eV for the cell shown

---

(3)
This record from Alexandria via LeMat-Bulk describes a geometry-optimized Pu3SbS2 structure. The functional is PBE.

Geometry as extended XYZ:
```
12
Lattice="3.566 -6.229 0.000 3.566 6.229 0.000 -2.388 0.000 6.766" Properties=species:S:1:pos:R:3 pbc="T T T"
Pu 1.783 3.114 0.000
Pu 0.379 1.173 3.358
Pu -0.815 -1.173 6.741
Pu 0.589 -3.114 3.383
Pu 5.560 1.173 0.025
Pu 4.366 -1.173 3.408
Sb 2.969 0.926 1.692
Sb 1.775 -0.926 5.075
S 2.969 5.189 1.692
S 1.775 3.010 5.075
S 2.969 -3.010 1.692
S 1.775 -5.189 5.075
```

Calculated values
crystal system = monoclinic
E_tot = -126.665 eV for the cell shown
ΔE_f (raw) = -128.00 kJ per mole of atoms